No. 1
VASP calculation (PBE) on a relaxed MgScPS2 crystal.

Lattice parameters (Å, degrees): 4.8807 4.8807 4.9569 90.00 90.00 90.00
Space group P4/mmm (No. 123)
One atom of each set of equivalent atoms:
Mg: 0.0000 0.0000 0.0000 x1
Sc: 0.5000 0.5000 0.5000 x1
P: 0.5000 0.5000 0.0000 x1
S: 0.0000 0.5000 0.5000 x2

Calculated values
Its formation energy without anion corrections is -0.3331 eV per atom. Its density is 2.3 g cm⁻³. As for the excess energy over the best structure of this formula in the dataset: 0.0 meV per atom. For the calculated total energy, the calculation gives -4.6513 eV per atom.

=====

No. 2
VASP calculation (PBE) on a relaxed MgPSeS2 crystal.

Lattice parameters (Å, degrees): 4.7945 4.7945 4.8029 90.00 90.00 90.00
Space group P4/mmm (No. 123)
One atom of each set of equivalent atoms:
Mg: 0.0000 0.0000 0.0000 x1
P: 0.5000 0.5000 0.0000 x1
Se: 0.5000 0.5000 0.5000 x1
S: 0.0000 0.5000 0.5000 x2

Calculated values
Its formation energy without anion corrections is 0.4972 eV per atom. Its density is 3.0 g cm⁻³. As for the excess energy over the best structure of this formula in the dataset: 0.0 meV per atom. For the calculated total energy, the calculation gives -3.2516 eV per atom.

=====

No. 3
VASP calculation (PBE) on a relaxed Mg2SiPS crystal.

Lattice parameters (Å, degrees): 4.7423 4.7423 4.6690 90.00 90.00 90.00
Space group P4/mmm (No. 123)
One atom of each set of equivalent atoms:
Mg: 0.0000 0.5000 0.0000 x2
Si: 0.0000 0.0000 0.5000 x1
P: 0.5000 0.5000 0.5000 x1
S: 0.0000 0.0000 0.0000 x1

Calculated values
Its formation energy without anion corrections is 0.2093 eV per atom. Its density is 2.2 g cm⁻³. For the calculated total energy, the calculation gives -3.4206 eV per atom.

=====

No. 4
VASP calculation (PBE) on a relaxed MgSnPS2 crystal.

Lattice parameters (Å, degrees): 4.8106 4.8106 4.8953 90.00 90.00 90.00
Space group P4/mmm (No. 123)
One atom of each set of equivalent atoms:
Mg: 0.0000 0.0000 0.0000 x1
Sn: 0.5000 0.5000 0.5000 x1
P: 0.0000 0.0000 0.5000 x1
S: 0.0000 0.5000 0.0000 x2

Calculated values
Its formation energy without anion corrections is 0.2449 eV per atom. Its density is 3.5 g cm⁻³. As for the excess energy over the best structure of this formula in the dataset: 0.0 meV per atom. For the calculated total energy, the calculation gives -3.6075 eV per atom.

=====

No. 5
VASP calculation (PBE) on a relaxed MgTcPS2 crystal.

Lattice parameters (Å, degrees): 4.6946 4.6946 4.8119 90.00 90.00 90.00
Space group P4/mmm (No. 123)
One atom of each set of equivalent atoms:
Mg: 0.0000 0.0000 0.0000 x1
Tc: 0.5000 0.5000 0.5000 x1
P: 0.0000 0.0000 0.5000 x1
S: 0.0000 0.5000 0.0000 x2

Calculated values
Its formation energy without anion corrections is 0.9614 eV per atom. Its density is 3.4 g cm⁻³. As for the excess energy over the best structure of this formula in the dataset: 798.8 meV per atom. For the calculated total energy, the calculation gives -4.1637 eV per atom.

=====

No. 6
VASP calculation (PBE) on a relaxed MgTcPS2 crystal.

Lattice parameters (Å, degrees): 4.7776 4.7776 4.4989 90.00 90.00 90.00
Space group P4/mmm (No. 123)
One atom of each set of equivalent atoms:
Mg: 0.0000 0.0000 0.0000 x1
Tc: 0.5000 0.5000 0.5000 x1
P: 0.5000 0.5000 0.0000 x1
S: 0.0000 0.5000 0.5000 x2

Calculated values
Its formation energy without anion corrections is 0.1626 eV per atom. Its density is 3.5 g cm⁻³. As for the excess energy over the best structure of this formula in the dataset: 0.0 meV per atom. For the calculated total energy, the calculation gives -4.9625 eV per atom.

=====

No. 7
VASP calculation (PBE) on a relaxed MgTeP2S crystal.

Lattice parameters (Å, degrees): 4.8996 4.8996 4.6413 90.00 90.00 90.00
Space group P4/mmm (No. 123)
One atom of each set of equivalent atoms:
Mg: 0.0000 0.0000 0.0000 x1
Te: 0.5000 0.5000 0.5000 x1
P: 0.0000 0.5000 0.0000 x2
S: 0.0000 0.0000 0.5000 x1

Calculated values
Its formation energy without anion corrections is 0.7066 eV per atom. Its density is 3.7 g cm⁻³. As for the excess energy over the best structure of this formula in the dataset: 0.0 meV per atom. For the calculated total energy, the calculation gives -3.2301 eV per atom.

=====

No. 8
VASP calculation (PBE) on a relaxed MgTiP2S crystal.

Lattice parameters (Å, degrees): 4.7428 4.7428 4.6482 90.00 90.00 90.00
Space group P4/mmm (No. 123)
One atom of each set of equivalent atoms:
Mg: 0.0000 0.0000 0.0000 x1
Ti: 0.5000 0.5000 0.5000 x1
P: 0.0000 0.5000 0.5000 x2
S: 0.5000 0.5000 0.0000 x1

Calculated values
Its formation energy without anion corrections is -0.1261 eV per atom. Its density is 2.6 g cm⁻³. As for the excess energy over the best structure of this formula in the dataset: 0.0 meV per atom. For the calculated total energy, the calculation gives -5.0135 eV per atom.